CdTe2IN | GGA-PBEsol | relaxed

Summary:
Its symmetry is P4/mmm (123). The value obtained for the volume is 113.17 Å³/f.u. The calculation puts the uncorrected formation energy at 0.6167 eV per atom. Its spin magnetization is 0.00 μB per formula unit. As for the density: 7.461 g/cm3.

Cell lengths 4.744, 4.744, 5.028 Å; angles 90.00, 90.00, 90.00 degrees
Sites, in units of the cell vectors:
Cd (0.000, 0.000, 0.000)
Te (0.000, 0.500, 0.500)
Te (0.500, 0.000, 0.500)
I (0.500, 0.500, 0.000)
N (0.500, 0.500, 0.500)

TlCdIN2 | GGA-PBEsol | relaxed

Summary:
Its symmetry is P4/mmm (123). The value obtained for the volume is 122.84 Å³/f.u. The calculation puts the uncorrected formation energy at 1.5843 eV per atom. Its spin magnetization is 2.47 μB per formula unit. As for the density: 6.377 g/cm3.

Cell lengths 4.292, 4.292, 6.668 Å; angles 90.00, 90.00, 90.00 degrees
Sites, in units of the cell vectors:
Tl (0.000, 0.000, 0.000)
Cd (0.500, 0.500, 0.500)
I (0.000, 0.000, 0.500)
N (0.000, 0.500, 0.000)
N (0.500, 0.000, 0.000)

CdWIN2 | GGA-PBEsol | relaxed

Summary:
Its symmetry is P4/mmm (123). The value obtained for the volume is 90.53 Å³/f.u. The calculation puts the uncorrected formation energy at 0.5005 eV per atom. Its spin magnetization is 0.01 μB per formula unit. As for the density: 8.276 g/cm3.

Cell lengths 3.987, 3.987, 5.694 Å; angles 90.00, 90.00, 90.00 degrees
Sites, in units of the cell vectors:
Cd (0.000, 0.000, 0.000)
W (0.500, 0.500, 0.500)
I (0.500, 0.500, 0.000)
N (0.000, 0.500, 0.500)
N (0.500, 0.000, 0.500)

CdWIN2 | GGA-PBEsol | relaxed

Summary:
Its symmetry is P4/mmm (123). The value obtained for the volume is 118.06 Å³/f.u. The calculation puts the uncorrected formation energy at 2.6336 eV per atom. Its spin magnetization is 7.47 μB per formula unit. As for the density: 6.346 g/cm3.

Cell lengths 4.141, 4.141, 6.885 Å; angles 90.00, 90.00, 90.00 degrees
Sites, in units of the cell vectors:
Cd (0.000, 0.000, 0.000)
W (0.500, 0.500, 0.500)
I (0.000, 0.000, 0.500)
N (0.000, 0.500, 0.000)
N (0.500, 0.000, 0.000)

ZrCdIN2 | GGA-PBEsol | relaxed

Summary:
Its symmetry is P4/mmm (123). The value obtained for the volume is 103.92 Å³/f.u. The calculation puts the uncorrected formation energy at 0.2529 eV per atom. Its spin magnetization is 0.47 μB per formula unit. As for the density: 5.730 g/cm3.

Cell lengths 4.172, 4.172, 5.970 Å; angles 90.00, 90.00, 90.00 degrees
Sites, in units of the cell vectors:
Zr (0.000, 0.000, 0.000)
Cd (0.500, 0.500, 0.500)
I (0.000, 0.000, 0.500)
N (0.000, 0.500, 0.000)
N (0.500, 0.000, 0.000)

NaCd2I2 | GGA-PBEsol | relaxed

Summary:
Its symmetry is I4/mmm (139). The value obtained for the volume is 169.43 Å³/f.u. The calculation puts the uncorrected formation energy at -0.3347 eV per atom. Its spin magnetization is 0.00 μB per formula unit. As for the density: 4.916 g/cm3.

Cell lengths 6.314, 6.314, 6.314 Å; angles 122.91, 122.91, 85.03 degrees
Sites, in units of the cell vectors:
Na (0.000, 0.000, 0.000)
Cd (0.355, 0.355, 0.000)
Cd (0.645, 0.645, 0.000)
I (0.250, 0.750, 0.500)
I (0.750, 0.250, 0.500)

NbCdI3 | GGA-PBEsol | relaxed

Summary:
Its symmetry is Pm-3m (221). The value obtained for the volume is 180.91 Å³/f.u. The calculation puts the uncorrected formation energy at 0.7626 eV per atom. Its spin magnetization is 3.83 μB per formula unit. As for the density: 5.379 g/cm3.

Cell lengths 5.656, 5.656, 5.656 Å; angles 90.00, 90.00, 90.00 degrees
Sites, in units of the cell vectors:
Nb (0.000, 0.000, 0.000)
Cd (0.500, 0.500, 0.500)
I (0.000, 0.500, 0.500)
I (0.500, 0.000, 0.500)
I (0.500, 0.500, 0.000)

NbCdSbI2 | GGA-PBEsol | relaxed

Summary:
Its symmetry is P4/mmm (123). The value obtained for the volume is 168.98 Å³/f.u. The calculation puts the uncorrected formation energy at 1.1082 eV per atom. Its spin magnetization is 2.70 μB per formula unit. As for the density: 5.708 g/cm3.

Cell lengths 5.556, 5.556, 5.474 Å; angles 90.00, 90.00, 90.00 degrees
Sites, in units of the cell vectors:
Nb (0.000, 0.000, 0.000)
Cd (0.500, 0.500, 0.500)
Sb (0.500, 0.500, 0.000)
I (0.000, 0.500, 0.500)
I (0.500, 0.000, 0.500)

CdI2O6 | GGA-PBEsol | relaxed

Summary:
Its symmetry is P2_12_12_1 (19). The value obtained for the volume is 137.24 Å³/f.u. The calculation puts the uncorrected formation energy at -0.5850 eV per atom. Its spin magnetization is 0.00 μB per formula unit. As for the density: 5.593 g/cm3.

Cell lengths 5.559, 5.767, 17.124 Å; angles 90.00, 90.00, 90.00 degrees
Sites, in units of the cell vectors:
Cd (0.209, 0.179, 0.094)
Cd (0.291, 0.821, 0.594)
Cd (0.709, 0.321, 0.906)
Cd (0.791, 0.679, 0.406)
I (0.048, 0.856, 0.923)
I (0.250, 0.270, 0.788)
I (0.250, 0.730, 0.288)
I (0.452, 0.144, 0.423)
I (0.548, 0.644, 0.077)
I (0.750, 0.230, 0.212)
I (0.750, 0.770, 0.712)
I (0.952, 0.356, 0.577)
O (0.020, 0.046, 0.210)
O (0.041, 0.606, 0.516)
O (0.046, 0.477, 0.836)
O (0.102, 0.489, 0.664)
O (0.139, 0.887, 0.376)
O (0.215, 0.180, 0.545)
O (0.285, 0.820, 0.045)
O (0.361, 0.113, 0.876)
O (0.398, 0.511, 0.164)
O (0.454, 0.523, 0.336)
O (0.459, 0.394, 0.016)
O (0.480, 0.954, 0.710)
O (0.520, 0.454, 0.790)
O (0.541, 0.894, 0.484)
O (0.546, 0.023, 0.164)
O (0.602, 0.011, 0.336)
O (0.639, 0.613, 0.624)
O (0.715, 0.320, 0.455)
O (0.785, 0.680, 0.955)
O (0.861, 0.387, 0.124)
O (0.898, 0.989, 0.836)
O (0.954, 0.977, 0.664)
O (0.959, 0.106, 0.984)
O (0.980, 0.546, 0.290)

CdIO4 | GGA-PBEsol | relaxed

Summary:
Its symmetry is Pnma (62). The value obtained for the volume is 86.70 Å³/f.u. The calculation puts the uncorrected formation energy at -0.4704 eV per atom. Its spin magnetization is 0.89 μB per formula unit. As for the density: 5.810 g/cm3.

Cell lengths 11.168, 6.615, 4.694 Å; angles 90.00, 90.00, 90.00 degrees
Sites, in units of the cell vectors:
Cd (0.000, 0.000, 0.000)
Cd (0.000, 0.500, 0.000)
Cd (0.500, 0.000, 0.500)
Cd (0.500, 0.500, 0.500)
I (0.221, 0.250, 0.497)
I (0.279, 0.750, 0.997)
I (0.721, 0.250, 0.003)
I (0.779, 0.750, 0.503)
O (0.075, 0.250, 0.713)
O (0.117, 0.750, 0.839)
O (0.173, 0.037, 0.269)
O (0.173, 0.463, 0.269)
O (0.327, 0.537, 0.769)
O (0.327, 0.963, 0.769)
O (0.383, 0.250, 0.339)
O (0.425, 0.750, 0.213)
O (0.575, 0.250, 0.787)
O (0.617, 0.750, 0.661)
O (0.673, 0.037, 0.231)
O (0.673, 0.463, 0.231)
O (0.827, 0.537, 0.731)
O (0.827, 0.963, 0.731)
O (0.883, 0.250, 0.161)
O (0.925, 0.750, 0.287)

CdOsI2O | GGA-PBEsol | relaxed

Summary:
Its symmetry is P4/mmm (123). The value obtained for the volume is 115.03 Å³/f.u. The calculation puts the uncorrected formation energy at -0.0490 eV per atom. Its spin magnetization is 0.00 μB per formula unit. As for the density: 8.264 g/cm3.

Cell lengths 5.556, 5.556, 3.726 Å; angles 90.00, 90.00, 90.00 degrees
Sites, in units of the cell vectors:
Cd (0.000, 0.000, 0.000)
Os (0.500, 0.500, 0.500)
I (0.000, 0.500, 0.500)
I (0.500, 0.000, 0.500)
O (0.500, 0.500, 0.000)

CdOsIO2 | GGA-PBEsol | relaxed

Summary:
Its symmetry is P4/mmm (123). The value obtained for the volume is 98.48 Å³/f.u. The calculation puts the uncorrected formation energy at 1.1827 eV per atom. Its spin magnetization is 3.78 μB per formula unit. As for the density: 7.782 g/cm3.

Cell lengths 4.011, 4.011, 6.121 Å; angles 90.00, 90.00, 90.00 degrees
Sites, in units of the cell vectors:
Cd (0.000, 0.000, 0.000)
Os (0.500, 0.500, 0.500)
I (0.000, 0.000, 0.500)
O (0.000, 0.500, 0.000)
O (0.500, 0.000, 0.000)